(1)
LiAg2PdF6 | GGA-PBE | relaxed

POSCAR file:
```
LiAg2PdF6
1.0
5.703 0.000 0.000
0.000 5.668 0.000
-5.591 0.000 8.251
Li Ag Pd F
2 4 2 12
Cartesian
0.000 0.000 0.000
-2.796 2.834 4.125
-2.770 0.212 6.182
0.026 2.622 2.056
0.086 3.046 6.194
2.882 5.456 2.069
0.056 0.000 4.125
2.851 2.834 0.000
-0.457 0.143 1.967
-3.252 2.692 6.092
1.232 3.958 0.389
-1.564 4.545 4.515
1.744 1.211 0.401
-1.052 1.623 4.526
1.164 4.046 3.725
-1.632 4.457 7.850
1.676 1.123 3.736
-1.120 1.711 7.862
3.364 2.977 2.158
0.568 5.526 6.284
```

Computed properties:
total magnetic moment: 0.95 μB/f.u.
space group: P2_1/c, No. 14
energy relative to the elements, uncorrected: -1.4908 eV per atom

(2)
Pm3Ti5S12 | GGA-PBE | relaxed

POSCAR file:
```
Pm3Ti5S12
1.0
-7.634 7.634 7.634
7.634 -7.634 7.634
7.634 7.634 -7.634
Pm Ti S
12 20 48
Cartesian
3.817 1.909 0.000
7.634 3.817 -1.909
1.909 0.000 3.817
9.543 0.000 3.817
0.000 3.817 1.909
3.817 -1.909 7.634
3.817 9.543 0.000
7.634 3.817 5.726
-1.909 7.634 3.817
5.726 7.634 3.817
0.000 3.817 9.543
3.817 5.726 7.634
0.000 0.000 0.000
3.817 3.817 -3.817
3.817 -3.817 3.817
7.634 0.000 0.000
11.451 1.909 0.000
7.634 -3.817 5.726
5.726 7.634 -3.817
5.726 0.000 3.817
3.817 5.726 0.000
7.634 3.817 1.909
-3.817 3.817 3.817
0.000 7.634 0.000
0.000 0.000 7.634
3.817 3.817 3.817
0.000 3.817 5.726
3.817 1.909 7.634
1.909 7.634 3.817
1.909 0.000 11.451
0.000 11.451 1.909
-3.817 5.726 7.634
2.285 -0.447 0.904
9.167 4.721 -4.264
9.919 0.447 0.904
9.167 -2.913 4.264
7.187 -0.904 2.285
11.898 -1.532 2.913
0.904 2.285 -0.447
10.547 3.370 -1.532
4.721 4.264 -1.532
6.730 2.285 0.447
-0.447 0.904 2.285
4.264 -1.532 4.721
7.187 6.730 -2.285
4.264 1.532 2.913
4.721 -4.264 9.167
6.730 -2.285 7.187
2.913 4.264 1.532
8.539 5.350 0.447
4.264 9.167 -2.913
7.187 0.904 5.350
2.285 7.187 -0.904
9.167 2.913 3.370
1.532 2.913 4.264
2.285 0.447 6.730
5.350 7.187 0.904
6.102 4.721 3.370
-1.532 4.721 4.264
5.350 0.447 8.539
0.447 6.730 2.285
3.370 -1.532 10.547
-0.904 2.285 7.187
4.721 3.370 6.102
0.904 9.919 0.447
2.913 11.898 -1.532
3.370 6.102 4.721
0.447 0.904 9.919
3.370 9.167 2.913
8.081 6.730 5.350
0.904 5.350 7.187
2.913 3.370 9.167
-2.913 4.264 9.167
6.730 5.350 8.081
-4.264 9.167 4.721
0.447 8.539 5.350
-1.532 10.547 3.370
-2.285 7.187 6.730
-1.532 2.913 11.898
5.350 8.081 6.730
```

Computed properties:
total magnetic moment: 4.53 μB/f.u.
space group: Ia-3d, No. 230
energy relative to the elements, uncorrected: -1.4971 eV per atom

(3)
Tc2Hg3 | GGA-PBE | relaxed

POSCAR file:
```
Tc2Hg3
1.0
1.487 0.859 12.085
-1.487 0.859 12.085
0.000 -1.717 12.085
Tc Hg
2 3
Cartesian
0.000 0.000 3.719
0.000 0.000 32.535
0.000 0.000 10.706
0.000 0.000 18.127
0.000 0.000 25.549
```

Computed properties:
formation energy: 0.668 eV/atom
total magnetic moment: 0.38 μB/f.u.
space group: R-3m, No. 166

(4)
K3As5H12 | GGA-PBE | relaxed

POSCAR file:
```
K3As5H12
1.0
-6.655 6.655 6.655
6.655 -6.655 6.655
6.655 6.655 -6.655
K As H
12 20 48
Cartesian
3.328 1.664 0.000
6.655 3.328 -1.664
1.664 0.000 3.328
8.319 0.000 3.328
0.000 3.328 1.664
3.328 -1.664 6.655
3.328 8.319 0.000
6.655 3.328 4.992
-1.664 6.655 3.328
4.992 6.655 3.328
0.000 3.328 8.319
3.328 4.992 6.655
0.000 0.000 0.000
3.328 3.328 -3.328
3.328 -3.328 3.328
6.655 0.000 0.000
9.983 1.664 0.000
6.655 -3.328 4.992
4.992 6.655 -3.328
4.992 0.000 3.328
3.328 4.992 0.000
6.655 3.328 1.664
-3.328 3.328 3.328
0.000 6.655 0.000
0.000 0.000 6.655
3.328 3.328 3.328
0.000 3.328 4.992
3.328 1.664 6.655
1.664 6.655 3.328
1.664 0.000 9.983
0.000 9.983 1.664
-3.328 4.992 6.655
5.175 -3.421 4.118
11.463 0.790 -0.093
8.503 0.790 0.093
8.136 -3.235 4.118
9.890 2.538 -1.480
6.749 -4.808 5.865
4.118 5.175 -3.421
5.865 -0.093 1.847
5.865 6.749 -4.808
4.118 -1.480 3.421
3.421 4.118 -1.480
6.562 1.847 0.790
10.076 2.538 1.480
6.562 -1.847 5.865
5.865 6.562 -1.847
4.118 1.480 3.235
4.118 8.136 -3.235
5.865 0.093 4.808
3.235 4.118 1.480
6.749 4.808 0.790
1.847 5.865 -0.093
8.136 3.235 2.538
4.808 5.865 0.093
5.175 3.421 2.538
1.480 3.235 4.118
1.847 0.790 6.562
-1.480 3.421 4.118
4.808 0.790 6.749
-0.093 1.847 5.865
3.421 2.538 5.175
0.790 6.562 1.847
2.538 -1.480 9.890
2.538 5.175 3.421
0.790 0.093 8.503
0.093 8.503 0.790
-3.421 4.118 5.175
0.093 4.808 5.865
3.235 2.538 8.136
2.538 8.136 3.235
0.790 -0.093 11.463
0.790 6.749 4.808
2.538 1.480 10.076
-0.093 11.463 0.790
-3.235 4.118 8.136
-1.480 9.890 2.538
-1.847 5.865 6.562
-4.808 5.865 6.749
1.480 10.076 2.538
```

Computed properties:
total magnetic moment: 0.00 μB/f.u.
space group: Ia-3d, No. 230

(5)
CdSiSbTe2 | GGA-PBE | relaxed

POSCAR file:
```
CdSiSbTe2
1.0
5.567 0.000 0.000
0.000 5.567 0.000
0.000 0.000 5.437
Cd Si Sb Te
1 1 1 2
Cartesian
0.000 0.000 0.000
2.784 2.784 2.719
0.000 0.000 2.719
0.000 2.784 0.000
2.784 0.000 0.000
```

Computed properties:
total magnetic moment: 0.00 μB/f.u.
space group: P4/mmm, No. 123
energy relative to the elements, uncorrected: 0.9523 eV per atom

(6)
MgSi | GGA-PBE | relaxed

POSCAR file:
```
MgSi
1.0
4.721 0.000 0.000
-1.143 4.992 0.000
-2.146 -2.061 10.026
Mg Si
6 6
Cartesian
0.000 0.000 0.000
-0.797 1.152 2.920
-0.808 1.334 5.862
0.471 4.009 2.733
0.444 -0.160 9.068
1.710 -0.833 6.118
-1.759 3.871 4.491
0.247 2.723 0.132
-0.918 2.204 8.450
1.584 1.565 1.784
1.555 1.908 4.374
1.463 1.790 7.410
```

Computed properties:
total magnetic moment: 0.00 μB/f.u.
space group: P1, No. 1
energy relative to the elements, uncorrected: 0.0989 eV per atom

(7)
Tm6Sb2Te3Pb | GGA-PBE | relaxed

POSCAR file:
```
Tm6Sb2Te3Pb
1.0
9.457 -2.175 0.000
9.457 2.175 0.000
-1.965 0.000 8.450
Tm Sb Te Pb
6 2 3 1
Cartesian
-0.437 0.000 2.050
5.422 0.000 3.579
4.578 0.000 7.697
12.371 0.000 0.753
11.528 0.000 4.870
17.386 0.000 6.399
2.501 0.000 2.820
14.448 0.000 5.629
1.536 0.000 7.036
8.475 0.000 4.225
15.413 0.000 1.414
9.457 0.000 0.000
```

Computed properties:
total magnetic moment: 0.00 μB/f.u.
space group: C2/m, No. 12
energy relative to the elements, uncorrected: -1.0697 eV per atom

(8)
Nd4SmTl7 | GGA-PBE | relaxed

POSCAR file:
```
Nd4SmTl7
1.0
6.751 -2.896 0.000
6.751 2.896 0.000
-6.564 0.000 9.879
Nd Sm Tl
4 1 7
Cartesian
-0.659 0.000 2.791
-2.383 0.000 8.242
9.320 0.000 1.637
7.596 0.000 7.089
3.469 0.000 4.940
-3.282 0.000 4.940
1.521 0.000 0.364
-0.133 0.000 5.929
4.452 0.000 1.801
2.485 0.000 8.078
7.070 0.000 3.951
5.416 0.000 9.515
```

Computed properties:
formation energy: -0.169 eV/atom
total magnetic moment: 0.00 μB/f.u.
space group: C2/m, No. 12

no.,DFT total energy (eV per atom)
1,-3.89
2,-6.66
3,-3.66
4,-3.18
5,-2.40
6,-3.41
7,-5.09
8,-3.53